[1]
Computed, not measured: an optimized crystal structure of BaAg2Hg at the GGA-PBE level of DFT.

Properties
DFT total energy: -8.23 eV for the cell shown
Space group: Cmmm, No. 65

Cell lengths 4.9647, 4.9647, 4.7147 Å; angles 90.00, 90.00, 90.07 degrees
Positions (direct):
Ba: 0.0000 0.0000 0.0000
Ag: 0.0000 0.5000 0.5000
Ag: 0.5000 0.0000 0.5000
Hg: 0.5000 0.5000 0.0000

[2]
Computed, not measured: an optimized crystal structure of Ba3AgHg2 at the GGA-PBE level of DFT.

Properties
DFT total energy: -11.76 eV for the cell shown
Space group: P4/mmm, No. 123
Relative energy among the computed polymorphs: 0 kJ/mol of formula units

Cell lengths 4.1558, 4.1558, 12.6823 Å; angles 90.00, 90.00, 90.00 degrees
Positions (direct):
Ba: 0.0000 0.0000 0.0000
Ba: 0.0000 0.0000 0.3362
Ba: 0.0000 0.0000 0.6638
Ag: 0.5000 0.5000 0.5000
Hg: 0.5000 0.5000 0.1684
Hg: 0.5000 0.5000 0.8316

[3]
Computed, not measured: an optimized crystal structure of Ba6Ag5Hg at the GGA-PBE level of DFT.

Properties
DFT total energy: -29.41 eV for the cell shown
Space group: C2/m, No. 12

Cell lengths 10.1549, 10.1549, 5.8659 Å; angles 106.72, 106.72, 120.33 degrees
Positions (direct):
Ba: 0.0828 0.4167 0.7499
Ba: 0.2494 0.2494 0.2493
Ba: 0.4167 0.0828 0.7499
Ba: 0.5833 0.9172 0.2501
Ba: 0.7506 0.7506 0.7507
Ba: 0.9172 0.5833 0.2501
Ag: 0.0000 0.0000 0.5000
Ag: 0.1673 0.8327 0.0000
Ag: 0.3345 0.6655 0.5000
Ag: 0.6655 0.3345 0.5000
Ag: 0.8327 0.1673 0.0000
Hg: 0.5000 0.5000 0.0000

[4]
Computed, not measured: an optimized crystal structure of BaAg2Hg2 at the GGA-PBE level of DFT.

Properties
DFT total energy: -18.86 eV for the cell shown
Space group: P-1, No. 2
Relative energy among the computed polymorphs: 7 kJ/mol of formula units

Cell lengths 6.3234, 6.7187, 8.0938 Å; angles 82.64, 67.62, 63.71 degrees
Positions (direct):
Ba: 0.1329 0.2493 0.2500
Ba: 0.8671 0.7507 0.7500
Ag: 0.2439 0.8022 0.9471
Ag: 0.4847 0.7061 0.5554
Ag: 0.5153 0.2939 0.4446
Ag: 0.7561 0.1978 0.0529
Hg: 0.1440 0.1625 0.7036
Hg: 0.4923 0.6587 0.2021
Hg: 0.5077 0.3413 0.7979
Hg: 0.8560 0.8375 0.2964

[5]
Computed, not measured: an optimized crystal structure of BaAg2Hg2 at the GGA-PBE level of DFT.

Properties
DFT total energy: -9.46 eV for the cell shown
Space group: I4/mmm, No. 139
Relative energy among the computed polymorphs: 4 kJ/mol of formula units

Cell lengths 6.4379, 6.4379, 6.4379 Å; angles 132.82, 132.82, 68.93 degrees
Positions (direct):
Ba: 0.0000 0.0000 0.0000
Ag: 0.2500 0.7500 0.5000
Ag: 0.7500 0.2500 0.5000
Hg: 0.3640 0.3640 0.0000
Hg: 0.6360 0.6360 0.0000

[6]
Computed, not measured: an optimized crystal structure of Ba12Ag6Hg at the GGA-PBE level of DFT.

Properties
DFT total energy: -44.06 eV for the cell shown
Space group: Im-3, No. 204
Relative energy among the computed polymorphs: 0 kJ/mol of formula units

Cell lengths 10.2713, 10.2713, 10.2713 Å; angles 109.47, 109.47, 109.47 degrees
Positions (direct):
Ba: 0.1157 0.8169 0.2988
Ba: 0.1831 0.2988 0.4819
Ba: 0.1831 0.7012 0.8843
Ba: 0.2988 0.1157 0.8169
Ba: 0.2988 0.4819 0.1831
Ba: 0.4819 0.1831 0.2988
Ba: 0.5181 0.8169 0.7012
Ba: 0.7012 0.5181 0.8169
Ba: 0.7012 0.8843 0.1831
Ba: 0.8169 0.2988 0.1157
Ba: 0.8169 0.7012 0.5181
Ba: 0.8843 0.1831 0.7012
Ag: 0.1205 0.6205 0.5000
Ag: 0.3795 0.5000 0.8795
Ag: 0.5000 0.1205 0.6205
Ag: 0.5000 0.8795 0.3795
Ag: 0.6205 0.5000 0.1205
Ag: 0.8795 0.3795 0.5000
Hg: 0.0000 0.0000 0.0000

[7]
Computed, not measured: an optimized crystal structure of BaAgHg at the GGA-PBE level of DFT.

Properties
DFT total energy: -5.26 eV for the cell shown
Space group: F-43m, No. 216

Cell lengths 5.5505, 5.5505, 5.5505 Å; angles 60.00, 60.00, 60.00 degrees
Positions (direct):
Ba: 0.0000 0.0000 0.0000
Ag: 0.2500 0.2500 0.2500
Hg: 0.7500 0.7500 0.7500

[8]
Computed, not measured: an optimized crystal structure of BaAgHg at the GGA-PBE level of DFT.

Properties
DFT total energy: -6.25 eV for the cell shown
Space group: P-6m2, No. 187

Cell lengths 5.0451, 5.0451, 4.3456 Å; angles 90.00, 90.00, 120.00 degrees
Positions (direct):
Ba: 0.0000 0.0000 0.0000
Ag: 0.3333 0.6667 0.5000
Hg: 0.6667 0.3333 0.5000

[9]
Computed, not measured: an optimized crystal structure of Ba2AgHg5 at the GGA-PBE level of DFT.

Properties
DFT total energy: -22.31 eV for the cell shown
Space group: Cmcm, No. 63

Cell lengths 9.7230, 9.7230, 10.6950 Å; angles 90.00, 90.00, 150.80 degrees
Positions (direct):
Ba: 0.0000 0.0000 0.0000
Ba: 0.0000 0.0000 0.5000
Ba: 0.2023 0.7977 0.7500
Ba: 0.7977 0.2023 0.2500
Ag: 0.4414 0.5586 0.2500
Ag: 0.5586 0.4414 0.7500
Hg: 0.1880 0.8120 0.1081
Hg: 0.1880 0.8120 0.3919
Hg: 0.3553 0.6447 0.0299
Hg: 0.3553 0.6447 0.4701
Hg: 0.4097 0.5903 0.7500
Hg: 0.5903 0.4097 0.2500
Hg: 0.6447 0.3553 0.5299
Hg: 0.6447 0.3553 0.9701
Hg: 0.8120 0.1880 0.6081
Hg: 0.8120 0.1880 0.8919

[10]
Computed, not measured: an optimized crystal structure of Ba2AgHg3 at the GGA-PBE level of DFT.

Properties
DFT total energy: -20.56 eV for the cell shown
Space group: Fmmm, No. 69

Cell lengths 10.2271, 9.8242, 6.7108 Å; angles 73.72, 67.24, 39.04 degrees
Positions (direct):
Ba: 0.2500 0.2500 0.2500
Ba: 0.2502 0.7498 0.7498
Ba: 0.7498 0.2502 0.2502
Ba: 0.7500 0.7500 0.7500
Ag: 0.1664 0.1664 0.8336
Ag: 0.8336 0.8336 0.1664
Hg: 0.1589 0.6704 0.3296
Hg: 0.3302 0.3302 0.6698
Hg: 0.3296 0.8411 0.1589
Hg: 0.6704 0.1589 0.8411
Hg: 0.6698 0.6698 0.3302
Hg: 0.8411 0.3296 0.6704

[11]
Computed, not measured: an optimized crystal structure of Ba3Ag2Hg9 at the GGA-PBE level of DFT.

Properties
DFT total energy: -18.95 eV for the cell shown
Space group: Immm, No. 71

Cell lengths 9.6180, 9.6180, 9.6180 Å; angles 150.47, 109.26, 78.47 degrees
Positions (direct):
Ba: 0.0000 0.0000 0.0000
Ba: 0.3123 0.3123 0.0000
Ba: 0.6877 0.6877 0.0000
Ag: 0.2771 0.5000 0.7771
Ag: 0.7229 0.5000 0.2229
Hg: 0.0313 0.6691 0.3622
Hg: 0.1592 0.8747 0.2844
Hg: 0.3068 0.6691 0.6378
Hg: 0.4097 0.1253 0.2844
Hg: 0.5000 0.0000 0.5000
Hg: 0.5903 0.8747 0.7156
Hg: 0.6932 0.3309 0.3622
Hg: 0.8408 0.1253 0.7156
Hg: 0.9687 0.3309 0.6378

[12]
Computed, not measured: an optimized crystal structure of Ba6Ag2Hg at the GGA-PBE level of DFT.

Properties
DFT total energy: -39.09 eV for the cell shown
Space group: Immm, No. 71

Cell lengths 10.1300, 10.1300, 10.1300 Å; angles 112.87, 109.29, 106.32 degrees
Positions (direct):
Ba: 0.0641 0.2494 0.8147
Ba: 0.1724 0.2695 0.4419
Ba: 0.1724 0.7305 0.9030
Ba: 0.3323 0.0252 0.6929
Ba: 0.3323 0.6394 0.3071
Ba: 0.4347 0.2494 0.1853
Ba: 0.5653 0.7506 0.8147
Ba: 0.6677 0.3606 0.6929
Ba: 0.6677 0.9748 0.3071
Ba: 0.8276 0.2695 0.0970
Ba: 0.8276 0.7305 0.5581
Ba: 0.9359 0.7506 0.1853
Ag: 0.1173 0.6173 0.5000
Ag: 0.3357 0.0000 0.3357
Ag: 0.6643 0.0000 0.6643
Ag: 0.8827 0.3827 0.5000
Hg: 0.0000 0.0000 0.0000
Hg: 0.5000 0.5000 0.0000

[13]
Computed, not measured: an optimized crystal structure of BaAgHg2 at the GGA-PBE level of DFT.

Properties
DFT total energy: -6.41 eV for the cell shown
Space group: I-4m2, No. 119

Cell lengths 5.8323, 5.8323, 5.8323 Å; angles 128.18, 128.18, 76.33 degrees
Positions (direct):
Ba: 0.0000 0.0000 0.0000
Ag: 0.7500 0.2500 0.5000
Hg: 0.2500 0.7500 0.5000
Hg: 0.5000 0.5000 0.0000

[14]
Computed, not measured: an optimized crystal structure of BaAg2Hg2 at the GGA-PBE level of DFT.

Properties
DFT total energy: -9.50 eV for the cell shown
Space group: I4/mmm, No. 139
Relative energy among the computed polymorphs: 0 kJ/mol of formula units

Cell lengths 6.7910, 6.7910, 6.7910 Å; angles 137.67, 137.67, 61.40 degrees
Positions (direct):
Ba: 0.0000 0.0000 0.0000
Ag: 0.3840 0.3840 0.0000
Ag: 0.6160 0.6160 0.0000
Hg: 0.2500 0.7500 0.5000
Hg: 0.7500 0.2500 0.5000

[15]
Computed, not measured: an optimized crystal structure of BaAg2Hg at the GGA-PBE level of DFT.

Properties
DFT total energy: -8.66 eV for the cell shown
Space group: P2/m, No. 10

Cell lengths 4.3853, 4.9946, 5.6684 Å; angles 90.00, 90.06, 90.00 degrees
Positions (direct):
Ba: 0.0000 0.0000 0.0000
Ag: 0.5004 0.5000 0.2467
Ag: 0.4996 0.5000 0.7533
Hg: 0.5000 0.0000 0.5000

[16]
Computed, not measured: an optimized crystal structure of Ba2Ag15Hg2 at the GGA-PBE level of DFT.

Properties
DFT total energy: -49.15 eV for the cell shown
Space group: R-3m, No. 166

Cell lengths 7.5068, 7.5068, 7.5068 Å; angles 83.60, 83.60, 83.60 degrees
Positions (direct):
Ba: 0.1549 0.1549 0.1549
Ba: 0.8451 0.8451 0.8451
Ag: 0.0000 0.5000 0.5000
Ag: 0.1554 0.1554 0.6562
Ag: 0.1554 0.6562 0.1554
Ag: 0.1985 0.5000 0.8015
Ag: 0.1985 0.8015 0.5000
Ag: 0.3438 0.8446 0.8446
Ag: 0.5000 0.0000 0.5000
Ag: 0.5000 0.1985 0.8015
Ag: 0.5000 0.5000 0.0000
Ag: 0.5000 0.8015 0.1985
Ag: 0.6562 0.1554 0.1554
Ag: 0.8015 0.1985 0.5000
Ag: 0.8015 0.5000 0.1985
Ag: 0.8446 0.3438 0.8446
Ag: 0.8446 0.8446 0.3438
Hg: 0.3974 0.3974 0.3974
Hg: 0.6026 0.6026 0.6026

[17]
Computed, not measured: an optimized crystal structure of BaAg4Hg4 at the GGA-PBE level of DFT.

Properties
DFT total energy: -29.60 eV for the cell shown
Space group: P4_2/n, No. 86

Cell lengths 9.3473, 9.3473, 5.5264 Å; angles 90.00, 90.00, 90.00 degrees
Positions (direct):
Ba: 0.2500 0.2500 0.2500
Ba: 0.7500 0.7500 0.7500
Ag: 0.0299 0.9026 0.1926
Ag: 0.0974 0.5299 0.6926
Ag: 0.4026 0.9701 0.6926
Ag: 0.4701 0.5974 0.1926
Ag: 0.5299 0.4026 0.8074
Ag: 0.5974 0.0299 0.3074
Ag: 0.9026 0.4701 0.3074
Ag: 0.9701 0.0974 0.8074
Hg: 0.1173 0.8461 0.6843
Hg: 0.1539 0.6173 0.1843
Hg: 0.3461 0.8827 0.1843
Hg: 0.3827 0.6539 0.6843
Hg: 0.6173 0.3461 0.3157
Hg: 0.6539 0.1173 0.8157
Hg: 0.8461 0.3827 0.8157
Hg: 0.8827 0.1539 0.3157

[18]
Computed, not measured: an optimized crystal structure of Ba7Ag2Hg2 at the GGA-PBE level of DFT.

Properties
DFT total energy: -21.51 eV for the cell shown
Space group: Cmmm, No. 65
Relative energy among the computed polymorphs: 116 kJ/mol of formula units

Cell lengths 7.9379, 7.9379, 8.4456 Å; angles 90.00, 90.00, 109.35 degrees
Positions (direct):
Ba: 0.0000 0.0000 0.0000
Ba: 0.0000 0.5000 0.2723
Ba: 0.0000 0.5000 0.7277
Ba: 0.5000 0.0000 0.2723
Ba: 0.5000 0.0000 0.7277
Ba: 0.5000 0.5000 0.2592
Ba: 0.5000 0.5000 0.7408
Ag: 0.2923 0.7077 0.0000
Ag: 0.7077 0.2923 0.0000
Hg: 0.1714 0.1714 0.5000
Hg: 0.8286 0.8286 0.5000

[19]
Computed, not measured: an optimized crystal structure of BaAg2Hg at the GGA-PBE level of DFT.

Properties
DFT total energy: -8.55 eV for the cell shown
Space group: P4mm, No. 99

Cell lengths 3.8319, 3.8319, 7.3287 Å; angles 90.00, 90.00, 90.00 degrees
Positions (direct):
Ba: 0.0000 0.0000 0.0000
Ag: 0.0000 0.0000 0.5223
Ag: 0.5000 0.5000 0.6959
Hg: 0.5000 0.5000 0.3064

[20]
Computed, not measured: an optimized crystal structure of BaAg2Hg at the GGA-PBE level of DFT.

Properties
DFT total energy: -8.67 eV for the cell shown
Space group: Pm, No. 6

Cell lengths 4.3548, 5.0752, 5.5887 Å; angles 90.00, 90.11, 90.00 degrees
Positions (direct):
Ba: 0.0000 0.0000 0.0000
Ag: 0.5005 0.0000 0.4895
Ag: 0.5009 0.5000 0.2415
Hg: 0.4988 0.5000 0.7382

[21]
Computed, not measured: an optimized crystal structure of BaAg5Hg7 at the GGA-PBE level of DFT.

Properties
DFT total energy: -19.45 eV for the cell shown
Space group: Imm2, No. 44

Cell lengths 7.8520, 7.8520, 7.8520 Å; angles 137.63, 96.78, 98.23 degrees
Positions (direct):
Ba: 0.0000 0.0000 0.0000
Ag: 0.4960 0.4924 0.5046
Ag: 0.4960 0.9914 0.0036
Ag: 0.7688 0.2688 0.5000
Ag: 0.9878 0.4924 0.9964
Ag: 0.9878 0.9914 0.4954
Hg: 0.1908 0.4887 0.7020
Hg: 0.2237 0.7237 0.5000
Hg: 0.3478 0.9984 0.3493
Hg: 0.3551 0.3551 0.0000
Hg: 0.6491 0.9984 0.6507
Hg: 0.6550 0.6550 0.0000
Hg: 0.7867 0.4887 0.2980

[22]
Computed, not measured: an optimized crystal structure of BaAgHg at the GGA-PBE level of DFT.

Properties
DFT total energy: -12.47 eV for the cell shown
Space group: C2/m, No. 12

Cell lengths 6.5845, 6.5845, 8.4903 Å; angles 129.83, 129.83, 45.52 degrees
Positions (direct):
Ba: 0.0240 0.0240 0.2729
Ba: 0.9760 0.9760 0.7271
Ag: 0.3390 0.3390 0.3088
Ag: 0.6610 0.6610 0.6912
Hg: 0.3247 0.3247 0.8568
Hg: 0.6753 0.6753 0.1432

[23]
Computed, not measured: an optimized crystal structure of BaAg2Hg at the GGA-PBE level of DFT.

Properties
DFT total energy: -8.98 eV for the cell shown
Space group: Cm, No. 8

Cell lengths 4.9265, 4.9265, 6.1958 Å; angles 113.18, 113.18, 60.00 degrees
Positions (direct):
Ba: 0.0000 0.0000 0.0000
Ag: 0.2060 0.2060 0.6183
Ag: 0.5148 0.5148 0.5445
Hg: 0.7923 0.7923 0.3758